Density functional theory data (PBE-GGA) for Be2InHg after structural relaxation.

a = 3.8616 Å, b = 3.8554 Å, c = 4.8346 Å
α = 90.00°, β = 113.42°, γ = 90.00°
With the nearest neighbours (Å) after each atom.
Fractional positions:
Be  0.0000  0.0000  0.0000  2 Be 2.27
Be  0.1363  0.5000  0.2706  2 Be 2.27
In  0.7122  0.0000  0.4217  7 Be 2.57-2.81
Hg  0.4248  0.5000  0.8464  7 Be 2.55-2.82

Summary:
* volume: 16.5 Å³ per atom
* energy of formation: 407 meV/atom
* space group: Pm
* DOS at the Fermi energy: 1.5 states/eV/cell
* energy above the lowest structure with this stoichiometry: 25 meV per atom